[1]
VASP calculation (PBE) on a relaxed structure of Ac7In2Pd2.

Values from the calculation:
energy above the lowest structure with this stoichiometry	49	meV/atom
calculated volume	37.8	Å³/atom
E	-4.39	eV per atom

Cell: 7.5480 7.5480 7.7105 Å, 90.00 90.00 108.88°
Atoms (fractional coordinates):
Ac (0.0000, 0.0000, 0.0000)
Ac (0.0000, 0.5000, 0.2585)
Ac (0.0000, 0.5000, 0.7415)
Ac (0.5000, 0.0000, 0.2585)
Ac (0.5000, 0.0000, 0.7415)
Ac (0.5000, 0.5000, 0.2486)
Ac (0.5000, 0.5000, 0.7514)
In (0.1651, 0.1651, 0.5000)
In (0.8349, 0.8349, 0.5000)
Pd (0.2911, 0.7089, 0.0000)
Pd (0.7089, 0.2911, 0.0000)

=====

[2]
VASP calculation (PBE) on a relaxed structure of SrAg3O.

Values from the calculation:
uncorrected formation energy	7.301	eV/f.u.
energy above the lowest structure with this stoichiometry	1531	meV/atom
calculated volume	40.9	Å³/atom
E	-1.58	eV per atom

Cell: 5.8933 5.8933 5.8933 Å, 90.00 90.00 90.00°
Atoms (fractional coordinates):
Sr (0.0000, 0.0000, 0.0000)
Ag (0.0000, 0.0000, 0.5000)
Ag (0.0000, 0.5000, 0.0000)
Ag (0.5000, 0.0000, 0.0000)
O (0.5000, 0.5000, 0.5000)

=====

[3]
VASP calculation (PBE) on a relaxed structure of TaNb8.

Values from the calculation:
calculated volume	18.2	Å³/atom
E	-10.30	eV per atom

Cell: 7.2283 7.2283 7.2283 Å, 93.00 93.00 153.57°
Atoms (fractional coordinates):
Ta (0.0000, 0.0000, 0.0000)
Nb (0.0000, 0.3328, 0.3328)
Nb (0.0000, 0.6672, 0.6672)
Nb (0.3328, 0.0000, 0.3328)
Nb (0.3331, 0.3331, 0.6662)
Nb (0.3331, 0.6669, 0.0000)
Nb (0.6672, 0.0000, 0.6672)
Nb (0.6669, 0.3331, 0.0000)
Nb (0.6669, 0.6669, 0.3338)

=====

[4]
VASP calculation (PBE) on a relaxed structure of NaAlB3.

Values from the calculation:
energy above the lowest structure with this stoichiometry	0	meV/atom
calculated volume	15.3	Å³/atom
E	-3.48	eV per atom

Cell: 4.2427 4.2427 4.2427 Å, 90.00 90.00 90.00°
Atoms (fractional coordinates):
Na (0.0000, 0.0000, 0.0000)
Al (0.5000, 0.5000, 0.5000)
B (0.0000, 0.5000, 0.5000)
B (0.5000, 0.0000, 0.5000)
B (0.5000, 0.5000, 0.0000)

=====

[5]
VASP calculation (PBE) on a relaxed structure of Na2Zn3H8.

Values from the calculation:
calculated volume	10.7	Å³/atom
E	-2.52	eV per atom

Cell: 6.0883 6.0883 4.8361 Å, 108.54 108.54 56.61°
Atoms (fractional coordinates):
Na (0.2178, 0.2178, 0.1616)
Na (0.7822, 0.7822, 0.8384)
Zn (0.2319, 0.7681, 0.5000)
Zn (0.5000, 0.5000, 0.0000)
Zn (0.7681, 0.2319, 0.5000)
H (0.1054, 0.1054, 0.4577)
H (0.1910, 0.6155, 0.1122)
H (0.3845, 0.8090, 0.8878)
H (0.4015, 0.4015, 0.5726)
H (0.5985, 0.5985, 0.4274)
H (0.6155, 0.1910, 0.1122)
H (0.8090, 0.3845, 0.8878)
H (0.8946, 0.8946, 0.5423)

=====

[6]
VASP calculation (PBE) on a relaxed structure of RbB3C.

Values from the calculation:
energy above the lowest structure with this stoichiometry	0	meV/atom
calculated volume	12.8	Å³/atom
E	-3.41	eV per atom

Cell: 3.9981 3.9981 3.9981 Å, 90.00 90.00 90.00°
Atoms (fractional coordinates):
Rb (0.0000, 0.0000, 0.0000)
B (0.0000, 0.5000, 0.5000)
B (0.5000, 0.0000, 0.5000)
B (0.5000, 0.5000, 0.0000)
C (0.5000, 0.5000, 0.5000)

=====

[7]
VASP calculation (PBE) on a relaxed structure of YPbAu.

Values from the calculation:
calculated volume	26.0	Å³/atom
E	-5.07	eV per atom

Cell: 8.8132 8.8132 4.7089 Å, 90.28 90.28 25.26°
Atoms (fractional coordinates):
Y (0.0900, 0.0900, 0.2510)
Y (0.9100, 0.9100, 0.7490)
Pb (0.2846, 0.2846, 0.2507)
Pb (0.7154, 0.7154, 0.7493)
Au (0.4521, 0.4521, 0.2492)
Au (0.5479, 0.5479, 0.7508)

=====

[8]
VASP calculation (PBE) on a relaxed structure of CaTm3Tl2.

Values from the calculation:
energy above the lowest structure with this stoichiometry	0	meV/atom
calculated volume	28.1	Å³/atom
E	-3.63	eV per atom

Cell: 5.3091 9.3223 6.8141 Å, 90.00 90.00 90.00°
Atoms (fractional coordinates):
Ca (0.0000, 0.0227, 0.0000)
Ca (0.0000, 0.9773, 0.5000)
Tm (0.0000, 0.3334, 0.7063)
Tm (0.0000, 0.6666, 0.2063)
Tm (0.5000, 0.1744, 0.2773)
Tm (0.5000, 0.4796, 0.9825)
Tm (0.5000, 0.5204, 0.4825)
Tm (0.5000, 0.8256, 0.7773)
Tl (0.0000, 0.3393, 0.2323)
Tl (0.0000, 0.6607, 0.7323)
Tl (0.5000, 0.1630, 0.7515)
Tl (0.5000, 0.8370, 0.2515)